Record 1
A plane-wave DFT calculation with PBE-GGA was carried out for crystalline Mg2ScPb at its relaxed geometry.

a b c (Å): 5.4304 5.4304 3.5342
angles (deg): 90.00 90.00 110.28
Closest atoms and distances in Å follow each position.
Atoms (fractional coordinates):
Mg (0.0000, 0.0000, 0.0000)  2 Mg 3.10, 4 Sc 3.24, 4 Pb 3.24
Mg (0.5000, 0.5000, 0.0000)  2 Mg 3.10, 4 Pb 3.24, 4 Sc 3.24
Sc (0.0000, 0.5000, 0.5000)  2 Pb 3.10, 8 Mg 3.24
Pb (0.5000, 0.0000, 0.5000)  2 Sc 3.10, 8 Mg 3.24

Computed properties:
* DFT formation energy: -106.7 meV/atom
* DOS at the Fermi energy: 2.200 states/eV/cell
* magnetization: 0.00 Bohr magnetons per cell
* crystal system: orthorhombic
* space-group type: Cmmm
* VASP energy: -13.66 eV per cell



Record 2
A plane-wave DFT calculation with PBE-GGA was carried out for crystalline Mg9Sc4Pb11 at its relaxed geometry.

a b c (Å): 3.4647 14.0712 14.0712
angles (deg): 114.56 90.00 90.00
Closest atoms and distances in Å follow each position.
Atoms (fractional coordinates):
Pb (0.0000, 0.6963, 0.6963)  4 Sc 3.03
Pb (0.0000, 0.3037, 0.3037)  4 Sc 3.03
Sc (0.5000, 0.7611, 0.5568)  6 Pb 3.03-3.11, 2 Mg 3.26-3.28
Pb (0.0000, 0.1664, 0.8336)  8 Mg 3.32-3.44, 4 Pb 3.36-3.46
Mg (0.5000, 0.3712, 0.8431)  8 Pb 3.17-3.43, 3 Mg 3.26-3.46, 1 Sc 3.26
Pb (0.0000, 0.0416, 0.3982)  2 Sc 3.11, 6 Mg 3.17-3.43, 3 Pb 3.36-3.46
Mg (0.5000, 0.9424, 0.7965)  6 Pb 3.15-3.44, 1 Sc 3.28, 3 Mg 3.46
Mg (0.5000, 0.2035, 0.0576)  6 Pb 3.15-3.44, 1 Sc 3.28, 3 Mg 3.46
Pb (0.0000, 0.6339, 0.3661)  4 Sc 3.07, 4 Mg 3.39
Mg (0.5000, 0.5000, 0.5000)  4 Sc 3.42, 8 Pb 3.45-3.61, 2 Mg 3.46
Pb (0.0000, 0.8336, 0.1664)  8 Mg 3.32-3.44, 4 Pb 3.36-3.46
Pb (0.0000, 0.6018, 0.9584)  2 Sc 3.11, 6 Mg 3.17-3.43, 3 Pb 3.36-3.46
Sc (0.5000, 0.2389, 0.4432)  6 Pb 3.03-3.11, 2 Mg 3.26-3.28
Mg (0.5000, 0.8431, 0.3712)  8 Pb 3.17-3.43, 3 Mg 3.26-3.46, 1 Sc 3.26
Pb (0.0000, 0.3661, 0.6339)  4 Sc 3.07, 4 Mg 3.39
Pb (0.0000, 0.3982, 0.0416)  2 Sc 3.11, 6 Mg 3.17-3.43, 3 Pb 3.36-3.46
Mg (0.5000, 0.0576, 0.2035)  6 Pb 3.15-3.44, 1 Sc 3.28, 3 Mg 3.46
Pb (0.0000, 0.9584, 0.6018)  2 Sc 3.11, 6 Mg 3.17-3.43, 3 Pb 3.36-3.46
Sc (0.5000, 0.5568, 0.7611)  6 Pb 3.03-3.11, 2 Mg 3.26-3.28
Mg (0.5000, 0.6288, 0.1569)  8 Pb 3.17-3.43, 3 Mg 3.26-3.46, 1 Sc 3.26
Mg (0.5000, 0.7965, 0.9424)  6 Pb 3.15-3.44, 1 Sc 3.28, 3 Mg 3.46
Mg (0.5000, 0.1569, 0.6288)  8 Pb 3.17-3.43, 3 Mg 3.26-3.46, 1 Sc 3.26
Pb (0.0000, 0.0000, 0.0000)  8 Mg 3.15, 2 Pb 3.46
Sc (0.5000, 0.4432, 0.2389)  6 Pb 3.03-3.11, 2 Mg 3.26-3.28

Computed properties:
* DFT formation energy: -110.2 meV/atom
* DOS at the Fermi energy: 12.002 states/eV/cell
* magnetization: 0.00 Bohr magnetons per cell
* crystal system: orthorhombic
* space-group type: Cmmm
* VASP energy: -83.11 eV per cell



What did the first record say?
A plane-wave DFT calculation with PBE-GGA was carried out for crystalline Mg2ScPb at its relaxed geometry.

a b c (Å): 5.4304 5.4304 3.5342
angles (deg): 90.00 90.00 110.28
Closest atoms and distances in Å follow each position.
Atoms (fractional coordinates):
Mg (0.0000, 0.0000, 0.0000)  2 Mg 3.10, 4 Sc 3.24, 4 Pb 3.24
Mg (0.5000, 0.5000, 0.0000)  2 Mg 3.10, 4 Pb 3.24, 4 Sc 3.24
Sc (0.0000, 0.5000, 0.5000)  2 Pb 3.10, 8 Mg 3.24
Pb (0.5000, 0.0000, 0.5000)  2 Sc 3.10, 8 Mg 3.24

Computed properties:
* DFT formation energy: -106.7 meV/atom
* DOS at the Fermi energy: 2.200 states/eV/cell
* magnetization: 0.00 Bohr magnetons per cell
* crystal system: orthorhombic
* space-group type: Cmmm
* VASP energy: -13.66 eV per cell